[1]
! SrBeIr2 (PBE-GGA, relaxed); values from VASP
! Symmetry   Cmmm
! Uncorrected energy   -5.21 eV per atom
! Crystal system   orthorhombic
&SYSTEM
  ibrav = 0, nat = 4, ntyp = 3
/
ATOMIC_SPECIES
Sr 87.62 Sr.upf
Ir 192.22 Ir.upf
Be 9.01 Be.upf
CELL_PARAMETERS angstrom
-0.4099 -3.7714 3.2595
3.9436 -0.7708 -2.9783
1.6948 1.4344 1.8728
ATOMIC_POSITIONS crystal
Sr 0.5000 0.0000 0.5000
Ir 0.0000 0.0000 0.0000
Ir 0.5000 0.5000 0.0000
Be 0.0000 0.5000 0.5000


[2]
! ThZr5Co2 (PBE-GGA, relaxed); values from VASP
! Symmetry   Immm
! Uncorrected energy   -8.12 eV per atom
! Crystal system   orthorhombic
&SYSTEM
  ibrav = 0, nat = 8, ntyp = 3
/
ATOMIC_SPECIES
Th 232.04 Th.upf
Zr 91.22 Zr.upf
Co 58.93 Co.upf
CELL_PARAMETERS angstrom
4.3459 0.0006 1.0435
1.7642 6.2371 2.2203
0.6663 0.5527 6.7967
ATOMIC_POSITIONS crystal
Th 0.0000 0.0000 0.0000
Zr 0.0000 0.5000 0.5000
Zr 0.3473 0.4455 0.8599
Zr 0.6527 0.5545 0.1401
Zr 0.6527 0.1401 0.5545
Zr 0.3473 0.8599 0.4455
Co 0.2388 0.2612 0.2612
Co 0.7612 0.7388 0.7388